CsAg3PdO4 | PBE | optimized geometry

volume	20.3	Å³ per atom
total DFT energy (no corrections)	-34.7	eV/cell
crystal system	cubic
calculated density	5.7	g/cm³

```
data_CsAg3PdO4
_chemical_formula_sum 'Cs1 Ag3 Pd1 O4'
_cell_length_a 5.672
_cell_length_b 5.672
_cell_length_c 5.672
_cell_angle_alpha 90.00
_cell_angle_beta 90.00
_cell_angle_gamma 90.00
_symmetry_space_group_name_H-M 'P -4 3 m'
_symmetry_Int_Tables_number 215
_symmetry_space_group_name_Hall 'P -4 2 3'
loop_
_atom_site_label
_atom_site_fract_x
_atom_site_fract_y
_atom_site_fract_z
Cs1 0.000 0.000 0.000
Ag1 0.000 0.500 0.500
Pd1 0.500 0.500 0.500
O1 0.290 0.290 0.290
```

=====

ZnFeOsPb | PBE | optimized geometry

energy relative to the lowest polymorph listed for this composition	0.000	eV/atom
volume	16.1	Å³ per atom
total DFT energy (no corrections)	-87.3	eV/cell
crystal system	cubic
calculated density	13.4	g/cm³

```
data_ZnFeOsPb
_chemical_formula_sum 'Zn4 Fe4 Os4 Pb4'
_cell_length_a 6.359
_cell_length_b 6.359
_cell_length_c 6.359
_cell_angle_alpha 90.00
_cell_angle_beta 90.00
_cell_angle_gamma 90.00
_symmetry_space_group_name_H-M 'F -4 3 m'
_symmetry_Int_Tables_number 216
_symmetry_space_group_name_Hall 'F -4 2 3'
loop_
_atom_site_label
_atom_site_fract_x
_atom_site_fract_y
_atom_site_fract_z
Zn1 0.000 0.000 0.000
Fe1 0.250 0.250 0.750
Os1 0.250 0.250 0.250
Pb1 0.000 0.000 0.500
```

=====

Question: Which of these has the lowest total DFT energy (no corrections)?
Answer: ZnFeOsPb

=====

Question: Among the records above, which one has the highest calculated density?
Answer: ZnFeOsPb